# 1
Material: CaCr3Br
Method: DFT, PBE
State: relaxed

Cell and atoms, written as POSCAR:
```
CaCr3Br
1.0
5.095 0.000 0.000
0.000 5.095 0.000
0.000 0.000 5.095
Ca Cr Br
1 3 1
Cartesian
0.000 0.000 0.000
0.000 2.547 2.547
2.547 0.000 2.547
2.547 2.547 0.000
2.547 2.547 2.547
```

- polymorph energy (0 for the lowest one) (eV per formula unit) = 0.00
- SG = No. 221

=====

# 2
Material: Ca2CrBr
Method: DFT, PBE
State: relaxed

Cell and atoms, written as POSCAR:
```
Ca2CrBr
1.0
4.407 0.000 0.000
0.000 4.407 0.000
0.000 0.000 12.445
Ca Cr Br
4 2 2
Cartesian
0.000 0.000 0.000
0.000 2.203 3.111
2.203 0.000 9.334
2.203 2.203 6.223
0.000 2.203 9.334
2.203 0.000 3.111
0.000 0.000 6.223
2.203 2.203 0.000
```

- polymorph energy (0 for the lowest one) (eV per formula unit) = 0.89
- SG = No. 119

=====

# 3
Material: CaCr2Br
Method: DFT, PBE
State: relaxed

Cell and atoms, written as POSCAR:
```
CaCr2Br
1.0
7.434 0.000 0.000
0.000 7.434 0.000
0.000 0.000 7.434
Ca Cr Br
4 8 4
Cartesian
0.000 0.000 0.000
0.000 3.717 3.717
3.717 0.000 3.717
3.717 3.717 0.000
1.859 1.859 1.859
1.859 1.859 5.576
1.859 5.576 1.859
1.859 5.576 5.576
5.576 1.859 1.859
5.576 1.859 5.576
5.576 5.576 1.859
5.576 5.576 5.576
0.000 0.000 3.717
0.000 3.717 0.000
3.717 0.000 0.000
3.717 3.717 3.717
```

- polymorph energy (0 for the lowest one) (eV per formula unit) = 3.37
- SG = No. 225

=====

# 4
Material: CaCrBr
Method: DFT, PBE
State: relaxed

Cell and atoms, written as POSCAR:
```
CaCrBr
1.0
4.855 0.000 0.000
-2.427 4.204 0.000
0.000 0.000 3.769
Ca Cr Br
1 1 1
Cartesian
0.000 0.000 0.000
0.000 2.803 1.884
2.427 1.401 1.884
```

- polymorph energy (0 for the lowest one) (eV per formula unit) = 0.46
- SG = No. 187

=====

# 5
Material: CaCrBr2
Method: DFT, PBE
State: relaxed

Cell and atoms, written as POSCAR:
```
CaCrBr2
1.0
3.646 0.000 0.000
0.000 3.870 0.000
-0.078 0.000 7.661
Ca Cr Br
1 1 2
Cartesian
0.000 0.000 0.000
1.784 0.000 3.831
1.755 1.935 5.974
1.812 1.935 1.687
```

- polymorph energy (0 for the lowest one) (eV per formula unit) = 0.54
- SG = No. 10

=====

# 6
Material: CaCr2Br
Method: DFT, PBE
State: relaxed

Cell and atoms, written as POSCAR:
```
CaCr2Br
1.0
7.404 0.000 0.000
0.000 7.404 0.000
0.000 0.000 7.404
Ca Cr Br
4 8 4
Cartesian
0.000 0.000 0.000
0.000 3.702 3.702
3.702 0.000 3.702
3.702 3.702 0.000
0.000 0.000 3.702
0.000 3.702 0.000
1.851 1.851 1.851
1.851 5.553 5.553
3.702 0.000 0.000
3.702 3.702 3.702
5.553 1.851 5.553
5.553 5.553 1.851
1.851 1.851 5.553
1.851 5.553 1.851
5.553 1.851 1.851
5.553 5.553 5.553
```

- polymorph energy (0 for the lowest one) (eV per formula unit) = 2.52
- SG = No. 216

=====

# 7
Material: Ca2CrBr
Method: DFT, PBE
State: relaxed

Cell and atoms, written as POSCAR:
```
Ca2CrBr
1.0
5.078 0.000 0.000
0.000 5.078 0.000
0.000 0.000 9.172
Ca Cr Br
4 2 2
Cartesian
0.000 2.539 2.293
0.000 2.539 6.879
2.539 0.000 2.293
2.539 0.000 6.879
0.000 0.000 0.000
2.539 2.539 4.586
0.000 0.000 4.586
2.539 2.539 0.000
```

- polymorph energy (0 for the lowest one) (eV per formula unit) = 1.08
- SG = No. 139

=====

# 8
Material: CaCr2Br
Method: DFT, PBE
State: relaxed

Cell and atoms, written as POSCAR:
```
CaCr2Br
1.0
3.726 0.000 0.000
0.000 4.639 0.000
0.000 0.000 5.883
Ca Cr Br
1 2 1
Cartesian
0.000 0.000 0.000
0.000 2.320 2.942
1.863 0.000 2.942
1.863 2.320 0.000
```

- polymorph energy (0 for the lowest one) (eV per formula unit) = 1.80
- SG = No. 47

=====

# 9
Material: Ca4CrBr
Method: DFT, PBE
State: relaxed

Cell and atoms, written as POSCAR:
```
Ca4CrBr
1.0
0.000 4.890 4.890
4.890 0.000 4.890
4.890 4.890 0.000
Ca Cr Br
4 1 1
Cartesian
1.212 1.212 1.212
3.678 3.678 1.212
3.678 1.212 3.678
1.212 3.678 3.678
7.335 7.335 7.335
4.890 4.890 4.890
```

- SG = No. 216

=====

# 10
Material: CaCrBr4
Method: DFT, PBE
State: relaxed

Cell and atoms, written as POSCAR:
```
CaCrBr4
1.0
0.000 4.516 4.516
4.516 0.000 4.516
4.516 4.516 0.000
Ca Cr Br
1 1 4
Cartesian
0.000 0.000 0.000
2.258 2.258 2.258
5.642 3.390 3.390
3.390 5.642 3.390
3.390 3.390 5.642
5.642 5.642 5.642
```

- SG = No. 216

=====

# 11
Material: CaCrBr2
Method: DFT, PBE
State: relaxed

Cell and atoms, written as POSCAR:
```
CaCrBr2
1.0
7.441 0.000 0.000
0.000 7.441 0.000
0.000 0.000 7.441
Ca Cr Br
4 4 8
Cartesian
0.000 0.000 0.000
0.000 3.721 3.721
3.721 0.000 3.721
3.721 3.721 0.000
0.000 0.000 3.721
0.000 3.721 0.000
3.721 0.000 0.000
3.721 3.721 3.721
1.860 1.860 1.860
1.860 1.860 5.581
1.860 5.581 1.860
1.860 5.581 5.581
5.581 1.860 1.860
5.581 1.860 5.581
5.581 5.581 1.860
5.581 5.581 5.581
```

- polymorph energy (0 for the lowest one) (eV per formula unit) = 0.50
- SG = No. 225

=====

# 12
Material: Ca2CrBr
Method: DFT, PBE
State: relaxed

Cell and atoms, written as POSCAR:
```
Ca2CrBr
1.0
6.731 0.000 0.000
0.000 3.895 0.000
-2.267 0.000 8.977
Ca Cr Br
4 2 2
Cartesian
1.113 0.000 2.239
-0.015 1.947 6.738
4.479 1.947 2.239
3.350 0.000 6.738
-1.134 0.000 4.488
2.232 1.947 4.488
0.000 1.947 0.000
3.365 0.000 0.000
```

- polymorph energy (0 for the lowest one) (eV per formula unit) = 0.14
- SG = No. 12

=====

# 13
Material: CaCrBr2
Method: DFT, PBE
State: relaxed

Cell and atoms, written as POSCAR:
```
CaCrBr2
1.0
3.832 0.000 0.000
0.000 3.832 0.000
0.000 0.000 8.006
Ca Cr Br
1 1 2
Cartesian
0.000 0.000 0.000
1.916 1.916 2.098
0.000 0.000 3.103
1.916 1.916 6.517
```

- polymorph energy (0 for the lowest one) (eV per formula unit) = 0.16
- SG = No. 99

=====

# 14
Material: CaCr2Br
Method: DFT, PBE
State: relaxed

Cell and atoms, written as POSCAR:
```
CaCr2Br
1.0
3.705 0.000 0.000
-1.852 3.208 0.000
0.000 0.000 23.591
Ca Cr Br
3 6 3
Cartesian
0.000 0.000 0.000
0.000 2.139 15.728
1.852 1.069 7.864
0.000 0.000 5.595
0.000 0.000 12.285
0.000 2.139 4.421
0.000 2.139 21.323
1.852 1.069 13.459
1.852 1.069 20.148
0.000 0.000 17.817
0.000 2.139 9.953
1.852 1.069 2.089
```

- polymorph energy (0 for the lowest one) (eV per formula unit) = 0.73
- SG = No. 160

=====

# 15
Material: CaCrBr
Method: DFT, PBE
State: relaxed

Cell and atoms, written as POSCAR:
```
CaCrBr
1.0
7.286 0.000 0.000
0.000 7.286 0.000
0.000 0.000 7.286
Ca Cr Br
4 4 4
Cartesian
0.000 0.000 0.000
0.000 3.643 3.643
3.643 0.000 3.643
3.643 3.643 0.000
1.821 1.821 1.821
1.821 5.464 5.464
5.464 1.821 5.464
5.464 5.464 1.821
0.000 0.000 3.643
0.000 3.643 0.000
3.643 0.000 0.000
3.643 3.643 3.643
```

- polymorph energy (0 for the lowest one) (eV per formula unit) = 1.36
- SG = No. 216

=====

# 16
Material: CaCrBr2
Method: DFT, PBE
State: relaxed

Cell and atoms, written as POSCAR:
```
CaCrBr2
1.0
5.018 0.000 0.000
0.000 5.018 0.000
0.000 0.000 3.902
Ca Cr Br
1 1 2
Cartesian
0.000 0.000 0.000
2.509 2.509 0.000
0.000 2.509 1.951
2.509 0.000 1.951
```

- polymorph energy (0 for the lowest one) (eV per formula unit) = 0.61
- SG = No. 123

=====

# 17
Material: Ca2CrBr
Method: DFT, PBE
State: relaxed

Cell and atoms, written as POSCAR:
```
Ca2CrBr
1.0
3.663 0.000 0.000
0.000 3.663 0.000
0.000 0.000 9.800
Ca Cr Br
2 1 1
Cartesian
0.000 0.000 0.000
1.832 1.832 3.085
0.000 0.000 5.141
1.832 1.832 8.226
```

- polymorph energy (0 for the lowest one) (eV per formula unit) = 0.78
- SG = No. 99

=====

# 18
Material: CaCr2Br
Method: DFT, PBE
State: relaxed

Cell and atoms, written as POSCAR:
```
CaCr2Br
1.0
4.490 0.000 0.000
0.000 4.490 0.000
0.000 0.000 9.603
Ca Cr Br
2 4 2
Cartesian
0.000 0.000 0.000
2.245 2.245 4.802
0.000 0.000 4.802
0.000 2.245 7.202
2.245 0.000 2.401
2.245 2.245 0.000
0.000 2.245 2.401
2.245 0.000 7.202
```

- polymorph energy (0 for the lowest one) (eV per formula unit) = 2.35
- SG = No. 119

=====

# 19
Material: CaCrBr2
Method: DFT, PBE
State: relaxed

Cell and atoms, written as POSCAR:
```
CaCrBr2
1.0
3.912 0.000 0.000
0.000 7.102 0.000
0.000 0.000 8.505
Ca Cr Br
2 2 4
Cartesian
0.000 0.000 0.000
1.956 3.551 0.000
0.000 0.000 4.253
1.956 3.551 4.253
0.000 3.551 2.366
0.000 3.551 6.140
1.956 0.000 2.366
1.956 0.000 6.140
```

- polymorph energy (0 for the lowest one) (eV per formula unit) = 0.69
- SG = No. 65

=====

# 20
Material: Ca2CrBr
Method: DFT, PBE
State: relaxed

Cell and atoms, written as POSCAR:
```
Ca2CrBr
1.0
3.727 0.000 0.000
0.000 5.280 0.000
0.000 0.000 12.111
Ca Cr Br
4 2 2
Cartesian
0.000 0.000 0.000
0.000 2.640 2.672
1.863 0.000 8.727
1.863 2.640 6.055
0.000 2.640 9.191
1.863 0.000 3.136
0.000 0.000 6.205
1.863 2.640 0.150
```

- polymorph energy (0 for the lowest one) (eV per formula unit) = 0.70
- SG = No. 44

=====

# 21
Material: CaCrBr2
Method: DFT, PBE
State: relaxed

Cell and atoms, written as POSCAR:
```
CaCrBr2
1.0
3.568 0.000 0.000
0.000 3.568 0.000
0.000 0.000 10.413
Ca Cr Br
1 1 2
Cartesian
0.000 0.000 0.000
0.000 0.000 5.207
1.784 1.784 1.710
1.784 1.784 8.703
```

- polymorph energy (0 for the lowest one) (eV per formula unit) = 0.45
- SG = No. 123

=====

# 22
Material: Ca2CrBr
Method: DFT, PBE
State: relaxed

Cell and atoms, written as POSCAR:
```
Ca2CrBr
1.0
7.896 0.000 0.000
0.000 7.896 0.000
0.000 0.000 7.896
Ca Cr Br
8 4 4
Cartesian
0.000 0.000 0.000
0.000 3.948 3.948
1.974 1.974 1.974
1.974 5.922 5.922
3.948 0.000 3.948
3.948 3.948 0.000
5.922 1.974 5.922
5.922 5.922 1.974
0.000 0.000 3.948
0.000 3.948 0.000
3.948 0.000 0.000
3.948 3.948 3.948
1.974 1.974 5.922
1.974 5.922 1.974
5.922 1.974 1.974
5.922 5.922 5.922
```

- polymorph energy (0 for the lowest one) (eV per formula unit) = 2.36
- SG = No. 216

=====

# 23
Material: Ca2CrBr
Method: DFT, PBE
State: relaxed

Cell and atoms, written as POSCAR:
```
Ca2CrBr
1.0
3.945 0.000 0.000
0.000 3.720 0.000
-0.081 0.000 8.585
Ca Cr Br
2 1 1
Cartesian
-0.001 0.000 1.906
3.865 0.000 6.679
1.972 1.860 0.000
-0.041 1.860 4.292
```

- polymorph energy (0 for the lowest one) (eV per formula unit) = 0.00
- SG = No. 10

=====

# 24
Material: CaCr2Br
Method: DFT, PBE
State: relaxed

Cell and atoms, written as POSCAR:
```
CaCr2Br
1.0
3.454 0.000 0.000
0.000 3.484 0.000
0.000 0.000 15.603
Ca Cr Br
2 4 2
Cartesian
0.000 0.000 0.000
0.000 1.742 7.801
0.000 0.000 12.503
0.000 1.742 4.702
1.727 0.000 5.517
1.727 1.742 13.318
1.727 0.000 9.489
1.727 1.742 1.688
```

- polymorph energy (0 for the lowest one) (eV per formula unit) = 0.00
- SG = No. 38

=====

# 25
Material: Ca2CrBr
Method: DFT, PBE
State: relaxed

Cell and atoms, written as POSCAR:
```
Ca2CrBr
1.0
7.431 0.000 0.000
0.000 8.587 0.000
0.000 0.000 3.560
Ca Cr Br
4 2 2
Cartesian
1.858 2.147 0.000
1.858 6.440 0.000
5.573 2.147 0.000
5.573 6.440 0.000
0.000 0.000 1.780
3.715 4.293 1.780
0.000 4.293 1.780
3.715 0.000 1.780
```

- polymorph energy (0 for the lowest one) (eV per formula unit) = 0.57
- SG = No. 65

=====

# 26
Material: CaCrBr2
Method: DFT, PBE
State: relaxed

Cell and atoms, written as POSCAR:
```
CaCrBr2
1.0
14.070 0.000 0.000
0.000 3.731 0.000
-1.173 0.000 4.811
Ca Cr Br
2 2 4
Cartesian
0.000 0.000 0.000
7.035 1.865 0.000
4.222 0.000 0.108
11.257 1.865 0.108
2.258 1.865 0.731
5.909 0.000 2.407
9.293 0.000 0.731
12.945 1.865 2.407
```

- polymorph energy (0 for the lowest one) (eV per formula unit) = 0.21
- SG = No. 8

=====

# 27
Material: CaCrBr2
Method: DFT, PBE
State: relaxed

Cell and atoms, written as POSCAR:
```
CaCrBr2
1.0
4.169 0.000 0.000
0.000 4.169 0.000
0.000 0.000 12.254
Ca Cr Br
2 2 4
Cartesian
0.000 0.000 0.000
2.085 2.085 6.127
0.000 2.085 9.191
2.085 0.000 3.064
0.000 0.000 6.127
0.000 2.085 3.064
2.085 0.000 9.191
2.085 2.085 0.000
```

- polymorph energy (0 for the lowest one) (eV per formula unit) = 0.64
- SG = No. 119

=====

# 28
Material: CaCr2Br
Method: DFT, PBE
State: relaxed

Cell and atoms, written as POSCAR:
```
CaCr2Br
1.0
3.522 0.000 0.000
-1.761 3.050 0.000
0.000 0.000 27.879
Ca Cr Br
3 6 3
Cartesian
0.000 0.000 0.000
0.000 2.033 18.586
1.761 1.017 9.293
0.000 0.000 6.691
0.000 0.000 21.187
0.000 2.033 11.895
0.000 2.033 25.277
1.761 1.017 2.602
1.761 1.017 15.984
0.000 0.000 13.939
0.000 2.033 4.646
1.761 1.017 23.232
```

- polymorph energy (0 for the lowest one) (eV per formula unit) = 2.23
- SG = No. 166

=====

# 29
Material: Ca2CrBr
Method: DFT, PBE
State: relaxed

Cell and atoms, written as POSCAR:
```
Ca2CrBr
1.0
5.850 0.000 0.000
0.000 5.850 0.000
0.000 0.000 3.765
Ca Cr Br
2 1 1
Cartesian
0.000 0.000 0.000
2.925 2.925 0.014
0.000 2.925 1.891
2.925 0.000 0.124
```

- polymorph energy (0 for the lowest one) (eV per formula unit) = 0.47
- SG = No. 25

=====

# 30
Material: CaCrBr
Method: DFT, PBE
State: relaxed

Cell and atoms, written as POSCAR:
```
CaCrBr
1.0
5.085 0.000 0.000
0.000 5.104 0.000
0.000 0.000 13.380
Ca Cr Br
4 4 4
Cartesian
0.000 0.000 0.000
0.000 2.552 6.690
2.542 0.000 6.690
2.542 2.552 0.000
0.000 0.000 8.863
0.000 2.552 2.173
2.542 0.000 2.173
2.542 2.552 8.863
0.000 0.000 5.034
0.000 2.552 11.724
2.542 0.000 11.724
2.542 2.552 5.034
```

- polymorph energy (0 for the lowest one) (eV per formula unit) = 0.00
- SG = No. 42

=====

no.,raw formation energy (eV/f.u.)
1,5.25
2,-0.25
3,3.40
4,0.07
5,-2.04
6,2.55
7,-0.05
8,1.83
9,2.56
10,0.90
11,-2.07
12,-0.99
13,-2.42
14,0.76
15,0.97
16,-1.97
17,-0.36
18,2.38
19,-1.88
20,-0.44
21,-2.13
22,1.23
23,-1.14
24,0.03
25,-0.57
26,-2.37
27,-1.94
28,2.26
29,-0.67
30,-0.39